Compound: EuTm2N
Source: the Alexandria database
Functional: PBE
Structure: optimized geometry

a b c (Å): 3.432 3.432 28.526
angles (deg): 90.00 90.00 120.00
Element x y z (fractional)
Eu1 0.000 0.000 0.000
Eu2 0.333 0.667 0.667
Eu3 0.667 0.333 0.333
Tm1 0.000 0.000 0.121
Tm2 0.000 0.000 0.879
Tm3 0.333 0.667 0.546
Tm4 0.333 0.667 0.787
Tm5 0.667 0.333 0.213
Tm6 0.667 0.333 0.454
N1 0.000 0.000 0.500
N2 0.333 0.667 0.167
N3 0.667 0.333 0.833

Properties
N(E_F)   0.720 states/eV/atom
Formation energy (no corrections)   -0.71 eV/atom
M_tot   1.77 μB/atom